Record 1
RbMnBr2Cl | PBE-GGA | relaxed

abc: 6.2403 6.2403 5.8054
angles: 90.00 90.00 90.00
Space group P4/mmm (No. 123)
Symmetry-distinct sites (fractional):
Rb 0.0000 0.0000 0.0000 (multiplicity 1)
Mn 0.5000 0.5000 0.5000 (multiplicity 1)
Br 0.0000 0.5000 0.0000 (multiplicity 2)
Cl 0.0000 0.0000 0.5000 (multiplicity 1)

**Total magnetization**: 1.0000 μB per atom
**Total DFT energy (no corrections)**: -3.031 eV/atom
**Offset from the most stable computed form**: 1283 meV/atom

Record 2
HoTc2O6 | PBE-GGA | relaxed

abc: 10.1702 3.8581 6.9615
angles: 90.00 119.71 90.00
Space group C2/m (No. 12)
Symmetry-distinct sites (fractional):
Ho 0.0000 0.0000 0.0000 (multiplicity 2)
Tc 0.1783 0.0000 0.6084 (multiplicity 4)
O 0.0191 0.0000 0.6840 (multiplicity 4)
O 0.1492 0.5000 0.1028 (multiplicity 4)
O 0.2151 0.5000 0.5775 (multiplicity 4)

**Total magnetization**: 0.1141 μB per atom
**Total DFT energy (no corrections)**: -7.986 eV/atom